Entry 1:
The following is a PBE calculation of a relaxed Tm2Al4CuNi3 crystal, from Alexandria via LeMat-Bulk.

## Properties
Total magnetic moment: 0.00 μB per cell
DFT total energy: -50.689 eV for the cell shown

Cell: 3.9581 3.9581 10.4572 Å, 90.00 90.00 90.00°
With the nearest neighbours (Å) after each atom.
Sites, in units of the cell vectors:
Tm 0.5000 0.0000 0.2427  6 Ni 3.00-3.34, 8 Al 3.09-3.22, 2 Cu 3.34
Tm 0.0000 0.5000 0.7573  6 Ni 3.00-3.34, 8 Al 3.09-3.22, 2 Cu 3.34
Al 0.5000 0.5000 0.0000  4 Ni 2.45
Al 0.0000 0.0000 0.0000  4 Ni 2.45
Al 0.5000 0.0000 0.6325  3 Ni 2.40-2.42, 2 Cu 2.42
Al 0.0000 0.5000 0.3675  3 Ni 2.40-2.42, 2 Cu 2.42
Cu 0.5000 0.5000 0.5000  4 Al 2.42
Ni 0.0000 0.0000 0.5000  4 Al 2.42
Ni 0.5000 0.0000 0.8617  5 Al 2.40-2.45
Ni 0.0000 0.5000 0.1383  5 Al 2.40-2.45


Entry 2:
The following is a PBE calculation of a relaxed Tm2AlCu2Ni5 crystal, from Alexandria via LeMat-Bulk.

## Properties
Total magnetic moment: 0.00 μB per cell
DFT total energy: -106.800 eV for the cell shown

Cell: 3.6088 8.9154 8.9154 Å, 90.00 90.00 90.00°
With the nearest neighbours (Å) after each atom.
Sites, in units of the cell vectors:
Tm 0.0000 0.6767 0.1767  3 Cu 2.55-2.70
Tm 0.0000 0.3233 0.8233  3 Cu 2.55-2.70
Tm 0.0000 0.1767 0.3233  3 Cu 2.55-2.70
Tm 0.0000 0.8233 0.6767  3 Cu 2.55-2.70
Al 0.0000 0.0000 0.0000  8 Ni 2.61
Al 0.0000 0.5000 0.5000  8 Ni 2.61
Cu 0.0000 0.1208 0.6208  6 Ni 2.36-2.46, 1 Tm 2.55
Cu 0.0000 0.8792 0.3792  6 Ni 2.36-2.46, 1 Tm 2.55
Cu 0.0000 0.6208 0.8792  6 Ni 2.36-2.46, 1 Tm 2.55
Cu 0.0000 0.3792 0.1208  6 Ni 2.36-2.46, 1 Tm 2.55
Ni 0.5000 0.2020 0.0612  2 Cu 2.46, 2 Al 2.61, 3 Ni 2.66-2.71
Ni 0.5000 0.7980 0.9388  2 Cu 2.46, 2 Al 2.61, 3 Ni 2.66-2.71
Ni 0.5000 0.0612 0.7980  2 Cu 2.46, 2 Al 2.61, 3 Ni 2.66-2.71
Ni 0.5000 0.7020 0.4388  2 Cu 2.46, 2 Al 2.61, 3 Ni 2.66-2.71
Ni 0.5000 0.9388 0.2020  2 Cu 2.46, 2 Al 2.61, 3 Ni 2.66-2.71
Ni 0.5000 0.2980 0.5612  2 Cu 2.46, 2 Al 2.61, 3 Ni 2.66-2.71
Ni 0.5000 0.5612 0.7020  2 Cu 2.46, 2 Al 2.61, 3 Ni 2.66-2.71
Ni 0.5000 0.4388 0.2980  2 Cu 2.46, 2 Al 2.61, 3 Ni 2.66-2.71
Ni 0.5000 0.5000 0.0000  4 Cu 2.36
Ni 0.5000 0.0000 0.5000  4 Cu 2.36